Record 1
Crystalline SbTeAsSe2 at its relaxed geometry, computed with GGA-PBE.

```
data_SbTeAsSe2
_chemical_formula_sum 'Sb1 Te1 As1 Se2'
_space_group_name_H-M_alt 'P 4/m m m'
_space_group_IT_number 123
_space_group_name_Hall '-P 4 2'
_cell_length_a 5.1917
_cell_length_b 5.1917
_cell_length_c 5.5260
_cell_angle_alpha 90.00
_cell_angle_beta 90.00
_cell_angle_gamma 90.00
loop_
_atom_site_label
_atom_site_fract_x
_atom_site_fract_y
_atom_site_fract_z
Sb1 0.0000 0.0000 0.0000
Te1 0.5000 0.5000 0.5000
As1 0.0000 0.0000 0.5000
Se1 0.0000 0.5000 0.0000
```

Computed properties:
ΔE_f (raw) (meV/atom): 679
Crystal system: tetragonal
Energy relative to the lowest polymorph listed for this composition (meV per atom): 0
Density (g cm⁻³): 5.376

Record 2
Crystalline Tb2Pm2HoMg2 at its relaxed geometry, computed with GGA-PBE.

```
data_Tb2Pm2HoMg2
_chemical_formula_sum 'Tb6 Pm6 Ho3 Mg6'
_space_group_name_H-M_alt 'R -3 m'
_space_group_IT_number 166
_space_group_name_Hall '-R 3 2"'
_cell_length_a 5.4863
_cell_length_b 5.4863
_cell_length_c 24.2521
_cell_angle_alpha 90.00
_cell_angle_beta 90.00
_cell_angle_gamma 120.00
loop_
_atom_site_label
_atom_site_fract_x
_atom_site_fract_y
_atom_site_fract_z
Tb1 0.0000 0.0000 0.0741
Pm1 0.0000 0.0000 0.3444
Ho1 0.0000 0.0000 0.5000
Mg1 0.0000 0.0000 0.2097
```

Computed properties:
Energy of formation (meV per atom): -12
Crystal system: trigonal
Density (g cm⁻³): 6.473

For the records above, the corresponding energy values read -15.49; -79.84 eV/cell.